1.
The following is a PBE-GGA calculation of a geometry-optimized Ta2CoTcOs structure, from the Alexandria database.

Properties
space-group type: P4/mmm, No. 123
volume: 20.2 Å³/atom
energy of formation from the pure elements: 1.5265 eV/atom
final energy: -8.955 eV/atom
total magnetic moment: 0.49 μB per atom

Cell: 4.7914 4.7914 4.4057 Å, 90.00 90.00 90.00°
With the nearest neighbours (Å) after each atom.
Element x y z (fractional)
Ta1 0.0000 0.5000 0.0000  2 Os 2.40
Ta2 0.5000 0.0000 0.0000  2 Os 2.40
Co1 0.0000 0.0000 0.5000  2 Os 2.20
Tc1 0.5000 0.5000 0.5000  8 Ta 3.25, 4 Co 3.39
Os1 0.0000 0.0000 0.0000  2 Co 2.20, 4 Ta 2.40

***

2.
The following is a PBE-GGA calculation of a geometry-optimized ThTaCoOs2 structure, from the Alexandria database.

Properties
space-group type: I-4m2, No. 119
volume: 19.1 Å³/atom
energy of formation from the pure elements: -0.0582 eV/atom
final energy: -9.826 eV/atom
total magnetic moment: 0.39 μB per atom

Cell: 4.0728 4.0728 11.4948 Å, 90.00 90.00 90.00°
With the nearest neighbours (Å) after each atom.
Element x y z (fractional)
Th1 0.0000 0.0000 0.0000  8 Os 3.15, 4 Ta 3.52, 4 Co 3.52
Th2 0.5000 0.5000 0.5000  8 Os 3.15, 4 Ta 3.52, 4 Co 3.52
Ta1 0.0000 0.5000 0.7500  4 Os 2.59, 4 Co 2.88
Ta2 0.5000 0.0000 0.2500  4 Os 2.59, 4 Co 2.88
Co1 0.0000 0.5000 0.2500  4 Os 2.59, 4 Ta 2.88
Co2 0.5000 0.0000 0.7500  4 Os 2.59, 4 Ta 2.88
Os1 0.0000 0.0000 0.3887  1 Os 2.56, 2 Ta 2.59, 2 Co 2.59
Os2 0.0000 0.0000 0.6113  1 Os 2.56, 2 Ta 2.59, 2 Co 2.59
Os3 0.5000 0.5000 0.1113  1 Os 2.56, 2 Ta 2.59, 2 Co 2.59
Os4 0.5000 0.5000 0.8887  1 Os 2.56, 2 Ta 2.59, 2 Co 2.59

***

3.
The following is a PBE-GGA calculation of a geometry-optimized Ta2Ti5Co2Os structure, from the Alexandria database.

Properties
space-group type: P4/mbm, No. 127
volume: 15.7 Å³/atom
energy of formation from the pure elements: -0.2464 eV/atom
final energy: -9.109 eV/atom
total magnetic moment: 0.00 μB per atom

Cell: 10.1357 10.1357 3.0484 Å, 90.00 90.00 90.00°
With the nearest neighbours (Å) after each atom.
Element x y z (fractional)
Ta1 0.1775 0.3225 0.0000  1 Co 2.79, 10 Ti 2.97-3.09, 2 Ta 3.05
Ta2 0.3225 0.8225 0.0000  1 Co 2.79, 10 Ti 2.97-3.09, 2 Ta 3.05
Ta3 0.6775 0.1775 0.0000  1 Co 2.79, 10 Ti 2.97-3.09, 2 Ta 3.05
Ta4 0.8225 0.6775 0.0000  1 Co 2.79, 10 Ti 2.97-3.09, 2 Ta 3.05
Ti1 0.0000 0.5000 0.5000  4 Co 2.39
Ti2 0.0587 0.7965 0.5000  2 Co 2.39, 2 Os 2.63
Ti3 0.2035 0.0587 0.5000  2 Co 2.39, 2 Os 2.63
Ti4 0.2965 0.5587 0.5000  2 Co 2.39, 2 Os 2.63
Ti5 0.4413 0.2965 0.5000  2 Co 2.39, 2 Os 2.63
Ti6 0.5000 0.0000 0.5000  4 Co 2.39
Ti7 0.5587 0.7035 0.5000  2 Co 2.39, 2 Os 2.63
Ti8 0.7035 0.4413 0.5000  2 Co 2.39, 2 Os 2.63
Ti9 0.7965 0.9413 0.5000  2 Co 2.39, 2 Os 2.63
Ti10 0.9413 0.2035 0.5000  2 Co 2.39, 2 Os 2.63
Co1 0.1280 0.6280 0.0000  6 Ti 2.39
Co2 0.3720 0.1280 0.0000  6 Ti 2.39
Co3 0.6280 0.8720 0.0000  6 Ti 2.39
Co4 0.8720 0.3720 0.0000  6 Ti 2.39
Os1 0.0000 0.0000 0.0000  8 Ti 2.63
Os2 0.5000 0.5000 0.0000  8 Ti 2.63

***

4.
The following is a PBE-GGA calculation of a geometry-optimized TaCo2OsW structure, from the Alexandria database.

Properties
space-group type: P4/mmm, No. 123
volume: 18.3 Å³/atom
energy of formation from the pure elements: 1.7569 eV/atom
final energy: -8.293 eV/atom
total magnetic moment: 0.43 μB per atom

Cell: 4.3641 4.3641 4.7971 Å, 90.00 90.00 90.00°
With the nearest neighbours (Å) after each atom.
Element x y z (fractional)
Ta1 0.0000 0.0000 0.0000  2 Os 2.40
Co1 0.0000 0.5000 0.5000  2 Os 2.18
Co2 0.5000 0.0000 0.5000  2 Os 2.18
Os1 0.0000 0.0000 0.5000  4 Co 2.18, 2 Ta 2.40
W1 0.5000 0.5000 0.0000  4 Ta 3.09, 8 Co 3.24

***

5.
The following is a PBE-GGA calculation of a geometry-optimized Ta2Co2Os5W structure, from the Alexandria database.

Properties
space-group type: P4/mbm, No. 127
volume: 14.8 Å³/atom
energy of formation from the pure elements: 0.0268 eV/atom
final energy: -10.675 eV/atom
total magnetic moment: 0.00 μB per atom

Cell: 8.6745 8.6745 3.9377 Å, 90.00 90.00 90.00°
With the nearest neighbours (Å) after each atom.
Element x y z (fractional)
Ta1 0.1675 0.3325 0.0000  3 Co 2.53-2.58
Ta2 0.3325 0.8325 0.0000  3 Co 2.53-2.58
Ta3 0.6675 0.1675 0.0000  3 Co 2.53-2.58
Ta4 0.8325 0.6675 0.0000  3 Co 2.53-2.58
Co1 0.1266 0.6266 0.0000  6 Os 2.51, 3 Ta 2.53-2.58
Co2 0.3734 0.1266 0.0000  6 Os 2.51, 3 Ta 2.53-2.58
Co3 0.6266 0.8734 0.0000  6 Os 2.51, 3 Ta 2.53-2.58
Co4 0.8734 0.3734 0.0000  6 Os 2.51, 3 Ta 2.53-2.58
Os1 0.0000 0.5000 0.5000  4 Co 2.51, 4 Os 2.65
Os2 0.0726 0.7969 0.5000  2 Co 2.51, 4 Os 2.65-2.75, 2 W 2.72
Os3 0.2031 0.0726 0.5000  2 Co 2.51, 4 Os 2.65-2.75, 2 W 2.72
Os4 0.2969 0.5726 0.5000  2 Co 2.51, 4 Os 2.65-2.75, 2 W 2.72
Os5 0.4274 0.2969 0.5000  2 Co 2.51, 4 Os 2.65-2.75, 2 W 2.72
Os6 0.5000 0.0000 0.5000  4 Co 2.51, 4 Os 2.65
Os7 0.5726 0.7031 0.5000  2 Co 2.51, 4 Os 2.65-2.75, 2 W 2.72
Os8 0.7031 0.4274 0.5000  2 Co 2.51, 4 Os 2.65-2.75, 2 W 2.72
Os9 0.7969 0.9274 0.5000  2 Co 2.51, 4 Os 2.65-2.75, 2 W 2.72
Os10 0.9274 0.2031 0.5000  2 Co 2.51, 4 Os 2.65-2.75, 2 W 2.72
W1 0.0000 0.0000 0.0000  8 Os 2.72
W2 0.5000 0.5000 0.0000  8 Os 2.72

***

6.
The following is a PBE-GGA calculation of a geometry-optimized ZrTaCo2Os structure, from the Alexandria database.

Properties
space-group type: P4/mmm, No. 123
volume: 18.4 Å³/atom
energy of formation from the pure elements: 1.9596 eV/atom
final energy: -7.209 eV/atom
total magnetic moment: 0.04 μB per atom

Cell: 4.2852 4.2852 5.0105 Å, 90.00 90.00 90.00°
With the nearest neighbours (Å) after each atom.
Element x y z (fractional)
Zr1 0.0000 0.0000 0.0000  4 Co 2.14
Ta1 0.0000 0.0000 0.5000  2 Zr 2.51
Co1 0.0000 0.5000 0.0000  2 Zr 2.14
Co2 0.5000 0.0000 0.0000  2 Zr 2.14
Os1 0.5000 0.5000 0.5000  4 Ta 3.03, 8 Co 3.30

***

7.
The following is a PBE-GGA calculation of a geometry-optimized Tb2CoOs structure, from the Alexandria database.

Properties
space-group type: P4/mmm, No. 123
volume: 19.5 Å³/atom
energy of formation from the pure elements: -0.0858 eV/atom
final energy: -6.985 eV/atom
total magnetic moment: 0.10 μB per atom

Cell: 3.4063 3.4063 6.7282 Å, 90.00 90.00 90.00°
With the nearest neighbours (Å) after each atom.
Element x y z (fractional)
Tb1 0.0000 0.0000 0.2484  4 Co 2.93, 4 Os 2.94
Tb2 0.0000 0.0000 0.7516  4 Co 2.93, 4 Os 2.94
Co1 0.5000 0.5000 0.0000  8 Tb 2.93
Os1 0.5000 0.5000 0.5000  8 Tb 2.94

***

8.
The following is a PBE-GGA calculation of a geometry-optimized Tb4CoOs structure, from the Alexandria database.

Properties
space-group type: C2/c, No. 15
volume: 24.4 Å³/atom
energy of formation from the pure elements: -0.1939 eV/atom
E above lowest polymorph: 0 meV per atom
final energy: -6.337 eV/atom
total magnetic moment: 0.00 μB per atom

Cell: 7.8613 7.8613 6.1632 Å, 108.44 108.44 111.47°
With the nearest neighbours (Å) after each atom.
Element x y z (fractional)
Tb1 0.0485 0.6901 0.9020  2 Os 2.91-3.00, 2 Co 2.93-2.98
Tb2 0.2410 0.3635 0.7271  2 Co 2.76-2.87, 2 Os 2.83-3.04
Tb3 0.3099 0.9515 0.5980  2 Os 2.91-3.00, 2 Co 2.93-2.98
Tb4 0.3635 0.2410 0.2271  2 Co 2.76-2.87, 2 Os 2.83-3.04
Tb5 0.6365 0.7590 0.7729  2 Co 2.76-2.87, 2 Os 2.83-3.04
Tb6 0.6901 0.0485 0.4020  2 Os 2.91-3.00, 2 Co 2.93-2.98
Tb7 0.7590 0.6365 0.2729  2 Co 2.76-2.87, 2 Os 2.83-3.04
Tb8 0.9515 0.3099 0.0980  2 Os 2.91-3.00, 2 Co 2.93-2.98
Co1 0.0002 0.9998 0.2500  8 Tb 2.76-2.98, 2 Co 3.08
Co2 0.9998 0.0002 0.7500  8 Tb 2.76-2.98, 2 Co 3.08
Os1 0.3657 0.6343 0.2500  8 Tb 2.83-3.04
Os2 0.6343 0.3657 0.7500  8 Tb 2.83-3.04

***

9.
The following is a PBE-GGA calculation of a geometry-optimized Tb2Co3Os structure, from the Alexandria database.

Properties
space-group type: R-3m, No. 166
volume: 16.1 Å³/atom
energy of formation from the pure elements: -0.2048 eV/atom
final energy: -7.173 eV/atom
total magnetic moment: 0.41 μB per atom

Cell: 5.0996 5.0996 5.0996 Å, 61.23 61.23 61.23°
With the nearest neighbours (Å) after each atom.
Element x y z (fractional)
Tb1 0.1266 0.1266 0.1266  9 Co 2.97-3.03, 3 Os 3.04, 4 Tb 3.13-3.16
Tb2 0.8734 0.8734 0.8734  9 Co 2.97-3.03, 3 Os 3.04, 4 Tb 3.13-3.16
Co1 0.0000 0.5000 0.5000  2 Os 2.55, 4 Co 2.60
Co2 0.5000 0.0000 0.5000  2 Os 2.55, 4 Co 2.60
Co3 0.5000 0.5000 0.0000  2 Os 2.55, 4 Co 2.60
Os1 0.5000 0.5000 0.5000  6 Co 2.55

***

10.
The following is a PBE-GGA calculation of a geometry-optimized Tb2Co3Os structure, from the Alexandria database.

Properties
space-group type: Immm, No. 71
volume: 18.0 Å³/atom
energy of formation from the pure elements: 0.2601 eV/atom
final energy: -6.708 eV/atom
total magnetic moment: 0.18 μB per atom

Cell: 4.2206 5.0583 10.1269 Å, 90.00 90.00 90.00°
With the nearest neighbours (Å) after each atom.
Element x y z (fractional)
Tb1 0.0000 0.0000 0.1846  6 Co 2.63-2.94
Tb2 0.0000 0.0000 0.8154  6 Co 2.63-2.94
Tb3 0.5000 0.5000 0.3154  6 Co 2.63-2.94
Tb4 0.5000 0.5000 0.6846  6 Co 2.63-2.94
Co1 0.0000 0.5000 0.1138  1 Co 2.30, 2 Os 2.40
Co2 0.0000 0.5000 0.5000  2 Os 2.53, 4 Tb 2.82
Co3 0.0000 0.5000 0.8862  1 Co 2.30, 2 Os 2.40
Co4 0.5000 0.0000 0.0000  2 Os 2.53, 4 Tb 2.82
Co5 0.5000 0.0000 0.3862  1 Co 2.30, 2 Os 2.40
Co6 0.5000 0.0000 0.6138  1 Co 2.30, 2 Os 2.40
Os1 0.0000 0.0000 0.5000  6 Co 2.40-2.53
Os2 0.5000 0.5000 0.0000  6 Co 2.40-2.53

***

11.
The following is a PBE-GGA calculation of a geometry-optimized Tb4CoOs structure, from the Alexandria database.

Properties
space-group type: P2_1/m, No. 11
volume: 24.5 Å³/atom
energy of formation from the pure elements: -0.1376 eV/atom
E above lowest polymorph: 56 meV per atom
final energy: -6.280 eV/atom
total magnetic moment: 0.00 μB per atom

Cell: 6.2326 6.4812 7.6248 Å, 90.00 107.58 90.00°
With the nearest neighbours (Å) after each atom.
Element x y z (fractional)
Tb1 0.0008 0.0004 0.2416  2 Co 2.83-2.86, 2 Os 2.86-2.88
Tb2 0.0008 0.4996 0.2416  2 Co 2.83-2.86, 2 Os 2.86-2.88
Tb3 0.4334 0.2500 0.6068  1 Co 2.71, 1 Os 2.78
Tb4 0.4513 0.2500 0.1128  1 Co 2.64, 1 Os 2.74
Tb5 0.5487 0.7500 0.8872  1 Co 2.64, 1 Os 2.74
Tb6 0.5666 0.7500 0.3932  1 Co 2.71, 1 Os 2.78
Tb7 0.9992 0.9996 0.7584  2 Co 2.83-2.86, 2 Os 2.86-2.88
Tb8 0.9992 0.5004 0.7584  2 Co 2.83-2.86, 2 Os 2.86-2.88
Co1 0.2427 0.7500 0.0636  6 Tb 2.64-2.86
Co2 0.7573 0.2500 0.9364  6 Tb 2.64-2.86
Os1 0.2214 0.7500 0.5532  6 Tb 2.74-2.88
Os2 0.7786 0.2500 0.4468  6 Tb 2.74-2.88

***

12.
The following is a PBE-GGA calculation of a geometry-optimized Tb2Co2Os structure, from the Alexandria database.

Properties
space-group type: C2/c, No. 15
volume: 18.5 Å³/atom
energy of formation from the pure elements: -0.1970 eV/atom
final energy: -7.137 eV/atom
total magnetic moment: 0.00 μB per atom

Cell: 5.2342 5.2342 7.8016 Å, 100.88 100.88 62.30°
With the nearest neighbours (Å) after each atom.
Element x y z (fractional)
Tb1 0.0338 0.2695 0.1538  6 Co 2.85-3.13, 2 Os 3.05-3.17
Tb2 0.2695 0.0338 0.6538  6 Co 2.85-3.13, 2 Os 3.05-3.17
Tb3 0.7305 0.9662 0.3462  6 Co 2.85-3.13, 2 Os 3.05-3.17
Tb4 0.9662 0.7305 0.8462  6 Co 2.85-3.13, 2 Os 3.05-3.17
Co1 0.2611 0.4991 0.4983  2 Os 2.41, 1 Co 2.50
Co2 0.4991 0.2611 0.9983  2 Os 2.41, 1 Co 2.50
Co3 0.5009 0.7389 0.0017  2 Os 2.41, 1 Co 2.50
Co4 0.7389 0.5009 0.5017  2 Os 2.41, 1 Co 2.50
Os1 0.3763 0.6237 0.2500  4 Co 2.41
Os2 0.6237 0.3763 0.7500  4 Co 2.41